[1]
Density functional theory data (GGA-PBE) for crystalline Er2Be3AlIr4 at its relaxed geometry.

a b c (Å): 4.0506 4.0506 9.4756
angles (deg): 90.00 90.00 90.00
Last column: nearest neighbours and their distance in Å.
Fractional positions:
Ir (0.5000, 0.0000, 0.6436)  3 Be 2.32-2.44, 2 Al 2.44
Ir (0.0000, 0.0000, 0.0000)  4 Be 2.29
Ir (0.0000, 0.5000, 0.3564)  3 Be 2.32-2.44, 2 Al 2.44
Ir (0.5000, 0.5000, 0.0000)  4 Be 2.29
Be (0.0000, 0.5000, 0.1118)  5 Ir 2.29-2.32
Be (0.5000, 0.0000, 0.8882)  5 Ir 2.29-2.32
Be (0.0000, 0.0000, 0.5000)  4 Ir 2.44
Er (0.5000, 0.0000, 0.2311)  8 Ir 2.98-3.10, 7 Be 3.08-3.26, 2 Al 3.26
Er (0.0000, 0.5000, 0.7689)  8 Ir 2.98-3.10, 7 Be 3.08-3.26, 2 Al 3.26
Al (0.5000, 0.5000, 0.5000)  4 Ir 2.44

Summary:
Total magnetization (μB/cell): 0.000
Space-group type: P-4m2

[2]
Density functional theory data (GGA-PBE) for crystalline Dy2VNi at its relaxed geometry.

a b c (Å): 3.3870 3.3870 9.6966
angles (deg): 79.94 79.94 60.00
Last column: nearest neighbours and their distance in Å.
Fractional positions:
V (0.0000, 0.0000, 0.0000)  2 Dy 2.87
Dy (0.1007, 0.1007, 0.6980)  3 Ni 2.71, 1 V 2.87
Dy (0.8993, 0.8993, 0.3020)  3 Ni 2.71, 1 V 2.87
Ni (0.5000, 0.5000, 0.5000)  6 Dy 2.71

Summary:
Total magnetization (μB/cell): 3.159
Space-group type: R-3m

Computed formation energy, in the same sequence as the records: -732 537 meV per atom.